The following is a DFT calculation (PBE-GGA) of a relaxed U2H2SeBr crystal.

Summary:
- space group = No. 164
- total magnetization (μB per atom) = 0.901

Geometry as extended XYZ:
```
6
Lattice="3.790 0.000 0.000 -1.895 3.282 0.000 0.000 0.000 8.487" Properties=species:S:1:pos:R:3 pbc="T T T"
U 0.000 2.188 1.860
U 1.895 1.094 6.627
H 0.000 2.188 6.266
H 1.895 1.094 2.221
Se 0.000 0.000 0.000
Br 0.000 0.000 4.244
```

The following is a DFT calculation (PBE-GGA) of a relaxed CrAs2SeS crystal.

Summary:
- space group = No. 123
- total magnetization (μB per atom) = 0.000

Geometry as extended XYZ:
```
5
Lattice="4.696 0.000 0.000 0.000 4.696 0.000 0.000 0.000 4.487" Properties=species:S:1:pos:R:3 pbc="T T T"
Cr 0.000 0.000 0.000
As 0.000 2.348 0.000
As 2.348 0.000 0.000
Se 0.000 0.000 2.244
S 2.348 2.348 2.244
```

The following is a DFT calculation (PBE-GGA) of a relaxed Cs6Rb10Cd crystal.

Summary:
- energy of formation (meV per atom) = 31
- space group = No. 162
- total magnetization (μB per atom) = 0.000

Geometry as extended XYZ:
```
17
Lattice="14.204 0.000 0.000 -7.102 12.301 0.000 0.000 0.000 9.343" Properties=species:S:1:pos:R:3 pbc="T T T"
Cs -2.818 4.881 2.328
Cs -4.284 7.420 7.015
Cs 5.636 0.000 2.328
Cs 2.818 4.881 7.015
Cs 8.568 0.000 7.015
Cs 4.284 7.420 2.328
Rb -1.545 2.676 7.020
Rb -5.557 9.625 2.323
Rb 3.091 0.000 7.020
Rb 1.545 2.676 2.323
Rb 0.000 8.201 0.000
Rb 0.000 8.201 4.672
Rb 7.102 4.100 0.000
Rb 7.102 4.100 4.672
Rb 11.113 0.000 2.323
Rb 5.557 9.625 7.020
Cd 0.000 0.000 0.000
```

The following is a DFT calculation (PBE-GGA) of a relaxed CdSb2IO crystal.

Summary:
- space group = No. 123
- total magnetization (μB per atom) = 0.000

Geometry as extended XYZ:
```
5
Lattice="4.503 0.000 0.000 0.000 4.503 0.000 0.000 0.000 7.116" Properties=species:S:1:pos:R:3 pbc="T T T"
Cd 0.000 0.000 0.000
Sb 0.000 2.251 3.558
Sb 2.251 0.000 3.558
I 2.251 2.251 0.000
O 2.251 2.251 3.558
```

The following is a DFT calculation (PBE-GGA) of a relaxed GaAg2Bi crystal.

Summary:
- energy of formation (meV per atom) = 117
- space group = No. 225
- total magnetization (μB per atom) = 0.000

Geometry as extended XYZ:
```
4
Lattice="0.000 3.532 3.532 3.532 0.000 3.532 3.532 3.532 0.000" Properties=species:S:1:pos:R:3 pbc="T T T"
Ga 0.000 0.000 0.000
Ag 1.766 1.766 1.766
Ag 5.298 5.298 5.298
Bi 3.532 3.532 3.532
```

The following is a DFT calculation (PBE-GGA) of a relaxed Sr2Co2Pd crystal.

Summary:
- energy of formation (meV per atom) = 95
- space group = No. 139
- total magnetization (μB per atom) = 0.621

Geometry as extended XYZ:
```
5
Lattice="-1.742 1.742 9.189 1.742 -1.742 9.189 1.742 1.742 -9.189" Properties=species:S:1:pos:R:3 pbc="T T T"
Sr 0.000 0.000 1.961
Sr 0.000 0.000 16.417
Co 1.742 0.000 4.595
Co 0.000 1.742 4.595
Pd 0.000 0.000 9.189
```

The following is a DFT calculation (PBE-GGA) of a relaxed PuTh3Ir8 crystal.

Summary:
- energy of formation (meV per atom) = -766
- space group = No. 160
- total magnetization (μB per atom) = 0.447

Geometry as extended XYZ:
```
12
Lattice="2.717 1.568 8.873 -2.717 1.568 8.873 0.000 -3.137 8.873" Properties=species:S:1:pos:R:3 pbc="T T T"
Pu 0.000 0.000 0.000
Th 0.000 0.000 9.849
Th 0.000 0.000 13.223
Th 0.000 0.000 23.343
Ir 0.000 0.000 4.939
Ir -1.357 -0.784 20.467
Ir 0.000 -1.561 16.034
Ir -1.351 0.780 16.034
Ir 0.000 0.000 18.241
Ir 1.351 0.780 16.034
Ir 1.357 -0.784 20.467
Ir 0.000 1.567 20.467
```

The following is a DFT calculation (PBE-GGA) of a relaxed Pr6Sb5S crystal.

Summary:
- space group = No. 12
- total magnetization (μB per atom) = 0.000

Geometry as extended XYZ:
```
12
Lattice="3.894 -6.731 0.000 3.894 6.731 0.000 -2.595 0.000 7.334" Properties=species:S:1:pos:R:3 pbc="T T T"
Pr -0.041 2.175 5.448
Pr 1.222 0.000 1.846
Pr -0.041 -2.175 5.448
Pr 5.234 2.175 1.885
Pr 3.970 0.000 5.487
Pr 5.234 -2.175 1.885
Sb 3.894 4.428 0.000
Sb 2.596 2.234 3.667
Sb 3.894 0.000 0.000
Sb 2.596 -2.234 3.667
Sb 3.894 -4.428 0.000
S -1.298 0.000 3.667
```

The following is a DFT calculation (PBE-GGA) of a relaxed AgPPb2 crystal.

Summary:
- energy of formation (meV per atom) = 279
- space group = No. 122
- total magnetization (μB per atom) = 0.000

Geometry as extended XYZ:
```
8
Lattice="-3.352 3.352 5.794 3.352 -3.352 5.794 3.352 3.352 -5.794" Properties=species:S:1:pos:R:3 pbc="T T T"
Ag 0.000 0.000 0.000
Ag 0.000 3.352 2.897
P 3.352 0.000 2.897
P 0.000 0.000 5.794
Pb 1.676 -1.579 4.345
Pb 1.773 1.676 1.448
Pb 1.676 4.932 -1.448
Pb 1.579 1.676 7.242
```

The following is a DFT calculation (PBE-GGA) of a relaxed Sr3SiH2 crystal.

Summary:
- space group = No. 63
- total magnetization (μB per atom) = 0.000

Geometry as extended XYZ:
```
12
Lattice="4.693 -6.249 0.000 4.693 6.249 0.000 0.000 0.000 5.177" Properties=species:S:1:pos:R:3 pbc="T T T"
Sr 4.693 4.877 3.883
Sr 2.829 1.546 3.883
Sr 2.829 -1.546 1.294
Sr 6.558 1.546 3.883
Sr 6.558 -1.546 1.294
Sr 4.693 -4.877 1.294
Si 4.693 2.659 1.294
Si 4.693 -2.659 3.883
H 1.513 0.000 0.000
H 1.513 0.000 2.589
H 7.874 0.000 0.000
H 7.874 0.000 2.589
```

The following is a DFT calculation (PBE-GGA) of a relaxed Tb2Dy4Mg5 crystal.

Summary:
- energy of formation (meV per atom) = 234
- space group = No. 69
- total magnetization (μB per atom) = 0.000

Geometry as extended XYZ:
```
11
Lattice="0.000 5.023 11.082 3.105 0.000 11.082 3.105 5.023 0.000" Properties=species:S:1:pos:R:3 pbc="T T T"
Tb 3.105 5.023 2.533
Tb 3.105 5.023 19.632
Dy 3.105 3.341 8.289
Dy 3.105 3.341 13.876
Dy 3.105 6.706 8.289
Dy 3.105 6.706 13.876
Mg 1.552 2.512 0.000
Mg 1.552 2.512 5.541
Mg 1.552 2.512 11.082
Mg 3.105 5.023 11.082
Mg 4.657 7.535 16.624
```

The following is a DFT calculation (PBE-GGA) of a relaxed PaHgBiO5 crystal.

Summary:
- space group = No. 15
- total magnetization (μB per atom) = 0.000

Geometry as extended XYZ:
```
16
Lattice="3.721 -5.667 0.000 3.721 5.667 0.000 -3.036 0.000 7.342" Properties=species:S:1:pos:R:3 pbc="T T T"
Pa 1.861 2.833 0.000
Pa 0.343 -2.833 3.671
Hg 1.444 4.893 5.507
Hg 2.962 -4.893 1.836
Bi 1.444 0.121 5.507
Bi 2.962 -0.121 1.836
O 1.028 0.875 0.892
O 2.962 3.182 1.836
O -0.490 -0.875 4.563
O 0.437 1.544 6.827
O 2.451 1.544 4.186
O 1.955 -1.544 3.156
O 3.969 -1.544 0.515
O 4.896 0.875 2.779
O 1.444 -3.182 5.507
O 3.378 -0.875 6.451
```

Ordered electronic total energy results: -0.2344 -0.1793 -0.0328 -0.1146 -0.1116 -0.1638 -0.3573 -0.2120 -0.1338 -0.1205 -0.1105 -0.2493; unit Ha/atom.